Record 1
# ErCoF5 | Alexandria via LeMat-Bulk | GGA+U | relaxed
data_ErCoF5
_cell_length_a 8.987
_cell_length_b 6.711
_cell_length_c 7.512
_cell_angle_alpha 90.00
_cell_angle_beta 114.09
_cell_angle_gamma 90.00
_space_group_name_H-M_alt 'C 1 2/c 1'
_space_group_IT_number 15
loop_
_space_group_symop_operation_xyz
'x,y,z'
'-x,-y,-z'
'-x,y,-z+1/2'
'x,-y,z+1/2'
'x+1/2,y+1/2,z'
'-x+1/2,-y+1/2,-z'
'-x+1/2,y+1/2,-z+1/2'
'x+1/2,-y+1/2,z+1/2'
loop_
_atom_site_label
_atom_site_fract_x
_atom_site_fract_y
_atom_site_fract_z
Er1 0.000 0.052 0.250
Co1 0.000 0.500 0.000
F1 0.000 0.384 0.250
F2 0.010 0.184 0.964
F3 0.242 0.474 0.626
# D(E_F) = 0.00 states/eV per cell

=====

Record 2
# Er2CoF8 | Alexandria via LeMat-Bulk | GGA+U | relaxed
data_Er2CoF8
_cell_length_a 15.880
_cell_length_b 3.358
_cell_length_c 5.714
_cell_angle_alpha 90.00
_cell_angle_beta 91.38
_cell_angle_gamma 90.00
_space_group_name_H-M_alt 'C 1 2/m 1'
_space_group_IT_number 12
loop_
_space_group_symop_operation_xyz
'x,y,z'
'-x,-y,-z'
'-x,y,-z'
'x,-y,z'
'x+1/2,y+1/2,z'
'-x+1/2,-y+1/2,-z'
'-x+1/2,y+1/2,-z'
'x+1/2,-y+1/2,z'
loop_
_atom_site_label
_atom_site_fract_x
_atom_site_fract_y
_atom_site_fract_z
Er1 0.155 0.000 0.343
Co1 0.000 0.500 0.000
F1 0.018 0.000 0.218
F2 0.108 0.500 0.538
F3 0.129 0.500 0.068
F4 0.243 0.000 0.671
# D(E_F) = 0.00 states/eV per cell

=====

Record 3
# KErCo2F8 | Alexandria via LeMat-Bulk | GGA+U | relaxed
data_KErCo2F8
_cell_length_a 5.220
_cell_length_b 5.225
_cell_length_c 7.488
_cell_angle_alpha 81.69
_cell_angle_beta 81.75
_cell_angle_gamma 79.90
_space_group_name_H-M_alt 'P -1'
_space_group_IT_number 2
loop_
_space_group_symop_operation_xyz
'x,y,z'
'-x,-y,-z'
loop_
_atom_site_label
_atom_site_fract_x
_atom_site_fract_y
_atom_site_fract_z
K1 0.000 0.000 0.000
Er1 0.000 0.000 0.500
Co1 0.452 0.452 0.219
F1 0.208 0.765 0.716
F2 0.232 0.790 0.285
F3 0.275 0.272 0.443
F4 0.343 0.340 0.001
# D(E_F) = 0.00 states/eV per cell

=====

Record 4
DFT (GGA+U) results for an optimized crystal structure of Li2ErCoF8.

Geometry as CIF:
```
data_Li2ErCoF8
_cell_length_a 4.741
_cell_length_b 4.746
_cell_length_c 6.514
_cell_angle_alpha 91.04
_cell_angle_beta 90.95
_cell_angle_gamma 91.02
_space_group_name_H-M_alt 'P -1'
_space_group_IT_number 2
loop_
_space_group_symop_operation_xyz
'x,y,z'
'-x,-y,-z'
loop_
_atom_site_label
_atom_site_fract_x
_atom_site_fract_y
_atom_site_fract_z
Li1 0.002 0.001 0.254
Er1 0.500 0.500 0.500
Co1 0.500 0.500 0.000
F1 0.186 0.811 0.500
F2 0.231 0.766 0.000
F3 0.297 0.295 0.234
F4 0.309 0.307 0.775
```

=====

Record 5
# NaErCo2F8 | Alexandria via LeMat-Bulk | GGA+U | relaxed
data_NaErCo2F8
_cell_length_a 4.979
_cell_length_b 4.990
_cell_length_c 6.655
_cell_angle_alpha 89.93
_cell_angle_beta 89.93
_cell_angle_gamma 89.44
_space_group_name_H-M_alt 'P -1'
_space_group_IT_number 2
loop_
_space_group_symop_operation_xyz
'x,y,z'
'-x,-y,-z'
loop_
_atom_site_label
_atom_site_fract_x
_atom_site_fract_y
_atom_site_fract_z
Na1 0.000 0.000 0.000
Er1 0.000 0.000 0.500
Co1 0.500 0.500 0.239
F1 0.211 0.790 0.735
F2 0.211 0.791 0.265
F3 0.310 0.312 0.500
F4 0.318 0.320 0.000
# D(E_F) = 0.00 states/eV per cell

=====

Record 6
# Na2ErCo3F12 | Alexandria via LeMat-Bulk | GGA+U | relaxed
data_Na2ErCo3F12
_cell_length_a 7.4324
_cell_length_b 7.4324
_cell_length_c 15.8373
_cell_angle_alpha 90.00
_cell_angle_beta 90.00
_cell_angle_gamma 120.00
_space_group_name_H-M_alt 'R -3 m'
_space_group_IT_number 166
_space_group_name_Hall '-R 3 2"'
loop_
_atom_site_label
_atom_site_fract_x
_atom_site_fract_y
_atom_site_fract_z
Na1 0.0000 0.0000 0.1415
Er1 0.0000 0.0000 0.5000
Co1 0.0000 0.5000 0.0000
F1 0.0225 0.5113 0.8749
F2 0.0875 0.5438 0.3051
# D(E_F) = 18.65 states/eV per cell

=====

Record 7
# RbErCoF6 | Alexandria via LeMat-Bulk | GGA+U | relaxed
data_RbErCoF6
_cell_length_a 7.301
_cell_length_b 7.571
_cell_length_c 10.346
_cell_angle_alpha 90.00
_cell_angle_beta 90.00
_cell_angle_gamma 90.00
_space_group_name_H-M_alt 'I m m a'
_space_group_IT_number 74
_space_group_name_Hall '-I 2b 2'
loop_
_atom_site_label
_atom_site_fract_x
_atom_site_fract_y
_atom_site_fract_z
Rb1 0.000 0.250 0.096
Er1 0.000 0.000 0.500
Co1 0.250 0.250 0.750
F1 0.000 0.250 0.392
F2 0.000 0.250 0.654
F3 0.240 0.051 0.883
# D(E_F) = 0.00 states/eV per cell

=====

Record 8
# RbErCo2F8 | Alexandria via LeMat-Bulk | GGA+U | relaxed
data_RbErCo2F8
_cell_length_a 5.287
_cell_length_b 5.332
_cell_length_c 7.683
_cell_angle_alpha 80.08
_cell_angle_beta 80.31
_cell_angle_gamma 77.54
_space_group_name_H-M_alt 'P -1'
_space_group_IT_number 2
loop_
_space_group_symop_operation_xyz
'x,y,z'
'-x,-y,-z'
loop_
_atom_site_label
_atom_site_fract_x
_atom_site_fract_y
_atom_site_fract_z
Rb1 0.000 0.000 0.000
Er1 0.000 0.000 0.500
Co1 0.448 0.448 0.217
F1 0.210 0.756 0.709
F2 0.238 0.782 0.294
F3 0.271 0.260 0.433
F4 0.352 0.344 0.004
# D(E_F) = 0.00 states/eV per cell

=====

Per-record magnetization, μB per cell: 12.00; 6.00; 6.00; 2.01; 6.00; 30.00; 12.00; 6.00
Per-record uncorrected energy, Ry per atom: -0.440; -0.453; -0.400; -0.390; -0.402; -0.374; -0.410; -0.398